1.
Here is a geometry-optimized YMg2ScB structure from the Alexandria database. Energies are from PBE.

Values from the calculation:
energy relative to the elements	0.796	eV/atom
uncorrected energy	-3.7364	eV/atom
theoretical density	2.61	g/cm3
total magnetic moment	0.00	Bohr magnetons per cell

```
data_YMg2ScB
_cell_length_a 5.353
_cell_length_b 5.353
_cell_length_c 4.291
_cell_angle_alpha 90.00
_cell_angle_beta 90.00
_cell_angle_gamma 90.00
_symmetry_space_group_name_H-M 'P 4/m m m'
_symmetry_Int_Tables_number 123
_symmetry_space_group_name_Hall '-P 4 2'
loop_
_atom_site_label
_atom_site_fract_x
_atom_site_fract_y
_atom_site_fract_z
_atom_site_occupancy
Y1 0.000 0.000 0.000 1
Mg1 0.000 0.500 0.500 1
Sc1 0.500 0.500 0.500 1
B1 0.500 0.500 0.000 1
```

=====

2.
Here is a geometry-optimized YMgSc2B structure from the Alexandria database. Energies are from PBE.

Values from the calculation:
energy relative to the elements	-0.080	eV/atom
uncorrected energy	-5.5594	eV/atom
theoretical density	3.05	g/cm3
total magnetic moment	0.00	Bohr magnetons per cell

```
data_YMgSc2B
_cell_length_a 4.753
_cell_length_b 4.753
_cell_length_c 5.152
_cell_angle_alpha 90.00
_cell_angle_beta 90.00
_cell_angle_gamma 90.00
_symmetry_space_group_name_H-M 'P 4/m m m'
_symmetry_Int_Tables_number 123
_symmetry_space_group_name_Hall '-P 4 2'
loop_
_atom_site_label
_atom_site_fract_x
_atom_site_fract_y
_atom_site_fract_z
_atom_site_occupancy
Y1 0.000 0.000 0.000 1
Mg1 0.500 0.500 0.000 1
Sc1 0.000 0.500 0.500 1
B1 0.000 0.000 0.500 1
```

=====

3.
Here is a geometry-optimized Mg2ZrScB structure from the Alexandria database. Energies are from PBE.

Values from the calculation:
energy relative to the elements	0.156	eV/atom
uncorrected energy	-4.7932	eV/atom
theoretical density	3.26	g/cm3
total magnetic moment	0.00	Bohr magnetons per cell

```
data_Mg2ZrScB
_cell_length_a 4.562
_cell_length_b 4.562
_cell_length_c 4.787
_cell_angle_alpha 90.00
_cell_angle_beta 90.00
_cell_angle_gamma 90.00
_symmetry_space_group_name_H-M 'P 4/m m m'
_symmetry_Int_Tables_number 123
_symmetry_space_group_name_Hall '-P 4 2'
loop_
_atom_site_label
_atom_site_fract_x
_atom_site_fract_y
_atom_site_fract_z
_atom_site_occupancy
Mg1 0.000 0.500 0.000 1
Zr1 0.000 0.000 0.500 1
Sc1 0.500 0.500 0.500 1
B1 0.000 0.000 0.000 1
```

=====

4.
Here is a geometry-optimized MgB3Se structure from the Alexandria database. Energies are from PBE.

Values from the calculation:
E_form (uncorrected)	1.7930	eV per atom
uncorrected energy	-3.2293	eV/atom
theoretical density	3.13	g/cm3
E above lowest polymorph	0	kJ/mol of formula units
total magnetic moment	0.00	Bohr magnetons per cell

```
data_MgB3Se
_cell_length_a 4.162
_cell_length_b 4.162
_cell_length_c 4.162
_cell_angle_alpha 90.00
_cell_angle_beta 90.00
_cell_angle_gamma 90.00
_symmetry_space_group_name_H-M 'P m -3 m'
_symmetry_Int_Tables_number 221
_symmetry_space_group_name_Hall '-P 4 2 3'
loop_
_atom_site_label
_atom_site_fract_x
_atom_site_fract_y
_atom_site_fract_z
_atom_site_occupancy
Mg1 0.000 0.000 0.000 1
B1 0.000 0.500 0.500 1
Se1 0.500 0.500 0.500 1
```

=====

5.
Here is a geometry-optimized MgB3Se structure from the Alexandria database. Energies are from PBE.

Values from the calculation:
E_form (uncorrected)	2.2742	eV per atom
uncorrected energy	-2.7481	eV/atom
theoretical density	2.60	g/cm3
E above lowest polymorph	232	kJ/mol of formula units
total magnetic moment	0.00	Bohr magnetons per cell

```
data_MgB3Se
_cell_length_a 4.427
_cell_length_b 4.427
_cell_length_c 4.427
_cell_angle_alpha 90.00
_cell_angle_beta 90.00
_cell_angle_gamma 90.00
_symmetry_space_group_name_H-M 'P m -3 m'
_symmetry_Int_Tables_number 221
_symmetry_space_group_name_Hall '-P 4 2 3'
loop_
_atom_site_label
_atom_site_fract_x
_atom_site_fract_y
_atom_site_fract_z
_atom_site_occupancy
Mg1 0.000 0.000 0.000 1
B1 0.000 0.000 0.500 1
Se1 0.500 0.500 0.500 1
```

=====

6.
Here is a geometry-optimized Mg2BSe structure from the Alexandria database. Energies are from PBE.

Values from the calculation:
E_form (uncorrected)	0.2100	eV per atom
uncorrected energy	-3.1278	eV/atom
theoretical density	3.11	g/cm3
total magnetic moment	0.00	Bohr magnetons per cell

```
data_Mg2BSe
_cell_length_a 6.790
_cell_length_b 6.790
_cell_length_c 6.411
_cell_angle_alpha 90.00
_cell_angle_beta 90.00
_cell_angle_gamma 90.00
_symmetry_space_group_name_H-M 'I -4 2 d'
_symmetry_Int_Tables_number 122
_symmetry_space_group_name_Hall 'I -4 2bw'
loop_
_atom_site_label
_atom_site_fract_x
_atom_site_fract_y
_atom_site_fract_z
_atom_site_occupancy
Mg1 0.216 0.250 0.125 1
B1 0.000 0.000 0.000 1
Se1 0.000 0.000 0.500 1
```